Entry 1:
PaZnPO | PBE | relaxed

a = 4.472 Å, b = 5.913 Å, c = 5.831 Å
α = 90.00°, β = 90.00°, γ = 90.00°
Last column: magnetic moment on the atom in μB.
Fractional positions:
O 0.000 0.324 0.397  -0.01
O 0.000 0.676 0.897  -0.01
P 0.500 0.755 0.417  -0.02
P 0.500 0.245 0.917  -0.02
Pa 0.500 0.242 0.422  1.03
Pa 0.500 0.758 0.922  1.03
Zn 0.000 0.329 0.018  0.01
Zn 0.000 0.671 0.518  0.01

Results
The mass density is 7.4 g/cm3. For the final energy, the calculation gives -0.4543 Ry/atom.

Entry 2:
PaZnPO | PBE | relaxed

a = 3.845 Å, b = 3.845 Å, c = 8.889 Å
α = 90.00°, β = 90.00°, γ = 90.00°
Last column: magnetic moment on the atom in μB.
Fractional positions:
O 0.000 0.000 0.000  -0.03
O 0.500 0.500 0.000  -0.03
P 0.500 0.000 0.306  -0.01
P 0.000 0.500 0.694  -0.01
Pa 0.000 0.500 0.159  0.91
Pa 0.500 0.000 0.841  0.91
Zn 0.000 0.000 0.500  -0.01
Zn 0.500 0.500 0.500  -0.01

Results
The mass density is 8.7 g/cm3. For the final energy, the calculation gives -0.4676 Ry/atom.

Entry 3:
PaZnPO | PBE | relaxed

a = 4.186 Å, b = 4.186 Å, c = 9.410 Å
α = 90.00°, β = 90.00°, γ = 90.00°
Fractional positions:
O 0.000 0.000 0.000
O 0.500 0.500 0.000
P 0.500 0.000 0.302
P 0.000 0.500 0.698
Pa 0.000 0.000 0.500
Pa 0.500 0.500 0.500
Zn 0.500 0.000 0.030
Zn 0.000 0.500 0.970

Results
The mass density is 6.9 g/cm3. For the final energy, the calculation gives -0.3843 Ry/atom.

Entry 4:
P2PdPbO7 | PBE | relaxed

a = 13.449 Å, b = 5.914 Å, c = 7.375 Å
α = 90.00°, β = 90.00°, γ = 90.00°
Fractional positions:
O 0.663 0.250 0.025
O 0.476 0.250 0.090
O 0.288 0.250 0.091
O 0.879 0.033 0.167
O 0.879 0.467 0.167
O 0.095 0.030 0.211
O 0.095 0.470 0.211
O 0.595 0.030 0.289
O 0.595 0.470 0.289
O 0.379 0.033 0.333
O 0.379 0.467 0.333
O 0.788 0.250 0.409
O 0.976 0.250 0.410
O 0.163 0.250 0.475
O 0.837 0.750 0.525
O 0.024 0.750 0.590
O 0.212 0.750 0.591
O 0.621 0.533 0.667
O 0.621 0.967 0.667
O 0.405 0.530 0.711
O 0.405 0.970 0.711
O 0.905 0.530 0.789
O 0.905 0.970 0.789
O 0.121 0.533 0.833
O 0.121 0.967 0.833
O 0.712 0.750 0.909
O 0.524 0.750 0.910
O 0.337 0.750 0.975
P 0.588 0.250 0.174
P 0.376 0.250 0.214
P 0.876 0.250 0.286
P 0.088 0.250 0.326
P 0.912 0.750 0.674
P 0.124 0.750 0.714
P 0.624 0.750 0.786
P 0.412 0.750 0.826
Pb 0.741 0.750 0.241
Pb 0.241 0.750 0.259
Pb 0.759 0.250 0.741
Pb 0.259 0.250 0.759
Pd 0.000 0.000 0.000
Pd 0.000 0.500 0.000
Pd 0.500 0.000 0.500
Pd 0.500 0.500 0.500

Results
The mass density is 5.5 g/cm3. For the final energy, the calculation gives -0.4909 Ry/atom.

Entry 5:
SiP4PdPbO14 | PBE | relaxed

a = 4.552 Å, b = 17.107 Å, c = 6.409 Å
α = 90.00°, β = 101.48°, γ = 90.00°
Fractional positions:
O 0.345 0.077 0.127
O 0.345 0.423 0.127
O 0.847 0.020 0.162
O 0.847 0.480 0.162
O 0.950 0.170 0.184
O 0.950 0.330 0.184
O 0.419 0.567 0.196
O 0.419 0.933 0.196
O 0.802 0.672 0.227
O 0.802 0.828 0.227
O 0.169 0.072 0.475
O 0.169 0.428 0.475
O 0.424 0.670 0.482
O 0.424 0.830 0.482
O 0.576 0.170 0.518
O 0.576 0.330 0.518
O 0.831 0.572 0.525
O 0.831 0.928 0.525
O 0.198 0.172 0.773
O 0.198 0.328 0.773
O 0.581 0.067 0.804
O 0.581 0.433 0.804
O 0.050 0.670 0.816
O 0.050 0.830 0.816
O 0.153 0.520 0.838
O 0.153 0.980 0.838
O 0.655 0.577 0.873
O 0.655 0.923 0.873
P 0.063 0.087 0.223
P 0.063 0.413 0.223
P 0.613 0.623 0.352
P 0.613 0.877 0.352
P 0.387 0.123 0.648
P 0.387 0.377 0.648
P 0.937 0.587 0.777
P 0.937 0.913 0.777
Pb 0.439 0.250 0.141
Pb 0.561 0.750 0.859
Pd 0.115 0.750 0.353
Pd 0.885 0.250 0.647
Si 0.500 0.000 0.000
Si 0.500 0.500 0.000

Results
The mass density is 4.7 g/cm3. For the final energy, the calculation gives -0.5148 Ry/atom.

Entry 6:
PmPPbO | PBE | relaxed

a = 4.843 Å, b = 6.708 Å, c = 6.484 Å
α = 90.00°, β = 90.00°, γ = 90.00°
Fractional positions:
O 0.000 0.862 0.384
O 0.000 0.138 0.884
P 0.500 0.299 0.378
P 0.500 0.701 0.878
Pb 0.500 0.711 0.452
Pb 0.500 0.289 0.952
Pm 0.000 0.847 0.040
Pm 0.000 0.153 0.540

Results
The mass density is 6.3 g/cm3. For the final energy, the calculation gives -0.4406 Ry/atom.

Entry 7:
PmPPbO | PBE | relaxed

a = 5.674 Å, b = 5.674 Å, c = 5.373 Å
α = 90.00°, β = 90.00°, γ = 90.00°
Fractional positions:
O 0.000 0.000 0.000
O 0.500 0.500 0.000
P 0.500 0.000 0.496
P 0.000 0.500 0.504
Pb 0.000 0.500 0.003
Pb 0.500 0.000 0.997
Pm 0.000 0.000 0.500
Pm 0.500 0.500 0.500

Results
The mass density is 7.7 g/cm3. For the final energy, the calculation gives -0.4293 Ry/atom.

Entry 8:
PmPPbO | PBE | relaxed

a = 5.668 Å, b = 5.668 Å, c = 5.387 Å
α = 90.00°, β = 90.00°, γ = 90.00°
Fractional positions:
O 0.750 0.250 0.000
O 0.250 0.750 0.000
P 0.750 0.750 0.494
P 0.250 0.250 0.506
Pb 0.250 0.250 0.005
Pb 0.750 0.750 0.995
Pm 0.750 0.250 0.500
Pm 0.250 0.750 0.500

Results
The mass density is 7.7 g/cm3. For the final energy, the calculation gives -0.4293 Ry/atom.

Entry 9:
PmPPbO | PBE | relaxed

a = 4.324 Å, b = 4.324 Å, c = 9.418 Å
α = 90.00°, β = 90.00°, γ = 90.00°
Fractional positions:
O 0.000 0.000 0.000
O 0.500 0.500 0.000
P 0.500 0.000 0.278
P 0.000 0.500 0.722
Pb 0.000 0.000 0.500
Pb 0.500 0.500 0.500
Pm 0.000 0.500 0.104
Pm 0.500 0.000 0.896

Results
The mass density is 7.5 g/cm3. For the final energy, the calculation gives -0.4450 Ry/atom.

Entry 10:
PmPPbO | PBE | relaxed

a = 4.005 Å, b = 9.033 Å, c = 5.896 Å
α = 90.00°, β = 90.00°, γ = 90.00°
Fractional positions:
O 0.000 0.272 0.391
O 0.000 0.728 0.891
P 0.500 0.847 0.428
P 0.500 0.153 0.928
Pb 0.000 0.350 0.003
Pb 0.000 0.650 0.503
Pm 0.500 0.164 0.432
Pm 0.500 0.836 0.932

Results
The mass density is 6.2 g/cm3. For the final energy, the calculation gives -0.4482 Ry/atom.

Entry 11:
PrPPbO | PBE | relaxed

a = 4.386 Å, b = 4.386 Å, c = 9.571 Å
α = 90.00°, β = 90.00°, γ = 90.00°
Fractional positions:
O 0.750 0.250 0.000
O 0.250 0.750 0.000
P 0.750 0.750 0.284
P 0.250 0.250 0.716
Pb 0.750 0.250 0.500
Pb 0.250 0.750 0.500
Pr 0.250 0.250 0.108
Pr 0.750 0.750 0.892

Results
The mass density is 7.1 g/cm3. For the final energy, the calculation gives -0.4453 Ry/atom.

Entry 12:
PrPPbO | PBE | relaxed

a = 4.107 Å, b = 8.588 Å, c = 6.087 Å
α = 90.00°, β = 90.00°, γ = 90.00°
Fractional positions:
O 0.000 0.278 0.384
O 0.000 0.722 0.884
P 0.500 0.837 0.426
P 0.500 0.163 0.926
Pb 0.000 0.362 0.010
Pb 0.000 0.638 0.510
Pr 0.500 0.170 0.434
Pr 0.500 0.830 0.934

Results
The mass density is 6.1 g/cm3. For the final energy, the calculation gives -0.4453 Ry/atom.

Entry 13:
PrPPbO | PBE | relaxed

a = 4.958 Å, b = 6.672 Å, c = 6.536 Å
α = 90.00°, β = 90.00°, γ = 90.00°
Fractional positions:
O 0.000 0.360 0.390
O 0.000 0.640 0.890
P 0.500 0.802 0.371
P 0.500 0.198 0.871
Pb 0.500 0.215 0.451
Pb 0.500 0.785 0.951
Pr 0.000 0.340 0.042
Pr 0.000 0.660 0.542

Results
The mass density is 6.1 g/cm3. For the final energy, the calculation gives -0.4388 Ry/atom.

Entry 14:
PrPPbO | PBE | relaxed

a = 5.754 Å, b = 5.754 Å, c = 5.371 Å
α = 90.00°, β = 90.00°, γ = 90.00°
Fractional positions:
O 0.000 0.000 0.000
O 0.500 0.500 0.000
P 0.000 0.500 0.499
P 0.500 0.000 0.501
Pb 0.500 0.000 0.002
Pb 0.000 0.500 0.998
Pr 0.000 0.000 0.500
Pr 0.500 0.500 0.500

Results
The mass density is 7.4 g/cm3. For the final energy, the calculation gives -0.4282 Ry/atom.

Entry 15:
PPtPbO | PBE | relaxed

a = 4.498 Å, b = 4.498 Å, c = 8.536 Å
α = 90.00°, β = 90.00°, γ = 90.00°
Fractional positions:
O 0.000 0.000 0.000
O 0.500 0.500 0.000
P 0.500 0.000 0.294
P 0.000 0.500 0.706
Pb 0.000 0.000 0.500
Pb 0.500 0.500 0.500
Pt 0.500 0.000 0.035
Pt 0.000 0.500 0.965

Results
The mass density is 8.6 g/cm3. For the final energy, the calculation gives -0.3485 Ry/atom.

Entry 16:
PPtPbO | PBE | relaxed

a = 4.084 Å, b = 4.084 Å, c = 9.682 Å
α = 90.00°, β = 90.00°, γ = 90.00°
Fractional positions:
O 0.000 0.000 0.000
O 0.500 0.500 0.000
P 0.500 0.000 0.371
P 0.000 0.500 0.629
Pb 0.000 0.500 0.121
Pb 0.500 0.000 0.879
Pt 0.000 0.000 0.500
Pt 0.500 0.500 0.500

Results
The mass density is 9.2 g/cm3. For the final energy, the calculation gives -0.4166 Ry/atom.

Entry 17:
PPtPbO | PBE | relaxed

a = 3.452 Å, b = 7.632 Å, c = 6.228 Å
α = 90.00°, β = 90.00°, γ = 90.00°
Fractional positions:
O 0.000 0.440 0.493
O 0.000 0.560 0.993
P 0.500 0.867 0.366
P 0.500 0.133 0.866
Pb 0.500 0.258 0.409
Pb 0.500 0.742 0.909
Pt 0.000 0.708 0.486
Pt 0.000 0.292 0.986

Results
The mass density is 9.1 g/cm3. For the final energy, the calculation gives -0.3880 Ry/atom.

Entry 18:
TcP2PbO8 | PBE | relaxed

a = 4.799 Å, b = 4.799 Å, c = 7.430 Å
α = 92.63°, β = 92.63°, γ = 66.17°
Last column: magnetic moment on the atom in μB.
Fractional positions:
O 0.697 0.697 0.093  0.01
O 0.759 0.277 0.300  0.05
O 0.277 0.759 0.300  0.05
O 0.758 0.758 0.444  0.08
O 0.242 0.242 0.556  0.08
O 0.723 0.241 0.700  0.05
O 0.241 0.723 0.700  0.05
O 0.303 0.303 0.907  0.01
P 0.632 0.632 0.281  0.01
P 0.368 0.368 0.719  0.01
Pb 0.000 0.000 0.000  0.01
Tc 0.000 0.000 0.500  2.31

Results
The mass density is 5.3 g/cm3. For the final energy, the calculation gives -0.5316 Ry/atom.

Entry 19:
Zn3Te2P2Pb2O14 | PBE | relaxed

a = 5.271 Å, b = 7.859 Å, c = 15.165 Å
α = 90.00°, β = 90.20°, γ = 90.00°
Fractional positions:
O 0.703 0.039 0.039
O 0.708 0.384 0.051
O 0.246 0.266 0.068
O 0.103 0.596 0.126
O 0.161 0.909 0.160
O 0.755 0.749 0.208
O 0.810 0.194 0.220
O 0.190 0.694 0.280
O 0.245 0.249 0.292
O 0.839 0.409 0.340
O 0.897 0.096 0.374
O 0.754 0.766 0.432
O 0.292 0.884 0.449
O 0.297 0.539 0.461
O 0.703 0.461 0.539
O 0.708 0.116 0.551
O 0.246 0.234 0.568
O 0.103 0.904 0.626
O 0.161 0.591 0.660
O 0.755 0.751 0.708
O 0.810 0.306 0.720
O 0.190 0.806 0.780
O 0.245 0.251 0.792
O 0.839 0.091 0.840
O 0.897 0.404 0.874
O 0.754 0.734 0.932
O 0.292 0.616 0.949
O 0.297 0.961 0.961
P 0.042 0.738 0.192
P 0.958 0.238 0.308
P 0.042 0.762 0.692
P 0.958 0.262 0.808
Pb 0.500 0.442 0.196
Pb 0.500 0.942 0.304
Pb 0.500 0.058 0.696
Pb 0.500 0.558 0.804
Te 0.491 0.780 0.016
Te 0.509 0.280 0.484
Te 0.491 0.720 0.516
Te 0.509 0.220 0.984
Zn 0.000 0.500 0.000
Zn 0.988 0.112 0.113
Zn 0.012 0.612 0.387
Zn 0.000 0.000 0.500
Zn 0.988 0.388 0.613
Zn 0.012 0.888 0.887

Results
The mass density is 6.1 g/cm3. For the final energy, the calculation gives -0.4308 Ry/atom.